1.
PuCoCu after structural relaxation, computed with PBE.

## Properties
ΔE_f	-0.15	eV/f.u.
DOS(E_F)	2.803	states/eV per atom
symmetry	No. 74
excess energy over the best structure of this formula in the dataset	0.000	eV/f.u.

Cell lengths 5.129, 5.129, 5.129 Å; angles 88.34, 123.23, 118.75 degrees
Each line ends with the local moment (μB).
Sites, in units of the cell vectors:
Cu  0.500  0.500  0.500  0.06
Cu  0.000  0.500  0.000  0.06
Co  0.500  0.000  0.500  -0.73
Co  0.000  0.500  0.500  -0.73
Pu  0.750  0.878  0.128  5.28
Pu  0.250  0.122  0.872  5.28



2.
Pu3Co8Cu after structural relaxation, computed with PBE.

## Properties
ΔE_f	-1.12	eV/f.u.
DOS(E_F)	1.890	states/eV per atom
symmetry	No. 160

Cell lengths 4.929, 4.929, 8.579 Å; angles 73.30, 73.30, 60.00 degrees
Each line ends with the local moment (μB).
Sites, in units of the cell vectors:
Pu  0.995  0.995  0.016  5.12
Pu  0.376  0.376  0.872  5.18
Pu  0.504  0.504  0.487  5.03
Co  0.445  0.938  0.679  -1.30
Co  0.436  0.436  0.194  -1.29
Co  0.436  0.934  0.194  -1.29
Co  0.938  0.938  0.679  -1.30
Co  0.934  0.436  0.194  -1.29
Co  0.688  0.688  0.936  -1.16
Co  0.938  0.445  0.679  -1.30
Co  0.188  0.188  0.436  -1.39
Cu  0.872  0.872  0.383  -0.01



3.
PuCo2Cu after structural relaxation, computed with PBE.

## Properties
ΔE_f	0.32	eV/f.u.
DOS(E_F)	2.044	states/eV per atom
symmetry	No. 123
excess energy over the best structure of this formula in the dataset	0.000	eV/f.u.

Cell lengths 3.534, 4.002, 4.002 Å; angles 90.00, 90.00, 90.00 degrees
Each line ends with the local moment (μB).
Sites, in units of the cell vectors:
Pu  0.500  0.500  0.500  4.68
Co  0.000  0.500  0.000  -0.70
Co  0.000  0.000  0.500  -0.70
Cu  0.500  0.000  0.000  0.07



4.
PuCoCu after structural relaxation, computed with PBE.

## Properties
ΔE_f	0.50	eV/f.u.
DOS(E_F)	2.509	states/eV per atom
symmetry	No. 107
excess energy over the best structure of this formula in the dataset	0.651	eV/f.u.

Cell lengths 3.097, 3.097, 5.539 Å; angles 106.23, 106.23, 90.00 degrees
Each line ends with the local moment (μB).
Sites, in units of the cell vectors:
Co  0.634  0.634  0.268  -1.33
Cu  0.255  0.255  0.511  -0.01
Pu  0.961  0.961  0.922  5.08



5.
PuCoCu after structural relaxation, computed with PBE.

## Properties
ΔE_f	0.28	eV/f.u.
DOS(E_F)	2.552	states/eV per atom
symmetry	No. 187
excess energy over the best structure of this formula in the dataset	0.430	eV/f.u.

Cell lengths 3.331, 4.229, 4.229 Å; angles 120.00, 90.00, 90.00 degrees
Each line ends with the local moment (μB).
Sites, in units of the cell vectors:
Cu  0.167  0.667  0.333  0.00
Pu  0.667  0.333  0.667  5.15
Co  0.167  0.000  0.000  -1.33



6.
PuCo4Cu after structural relaxation, computed with PBE.

## Properties
ΔE_f	-0.22	eV/f.u.
DOS(E_F)	1.600	states/eV per atom
symmetry	No. 216

Cell lengths 4.860, 4.860, 4.860 Å; angles 60.00, 60.00, 60.00 degrees
Each line ends with the local moment (μB).
Sites, in units of the cell vectors:
Pu  0.000  0.000  0.000  -4.90
Co  0.128  0.624  0.624  1.48
Co  0.624  0.624  0.128  1.48
Co  0.624  0.128  0.624  1.48
Co  0.624  0.624  0.624  1.48
Cu  0.250  0.250  0.250  0.04



7.
PuCoCu after structural relaxation, computed with PBE.

## Properties
ΔE_f	-0.04	eV/f.u.
DOS(E_F)	2.575	states/eV per atom
symmetry	No. 129
excess energy over the best structure of this formula in the dataset	0.108	eV/f.u.

Cell lengths 3.627, 3.627, 7.413 Å; angles 90.01, 90.01, 89.98 degrees
Each line ends with the local moment (μB).
Sites, in units of the cell vectors:
Cu  0.750  0.250  0.000  -0.02
Cu  0.250  0.750  0.000  -0.02
Co  0.750  0.750  0.748  -0.84
Co  0.250  0.250  0.252  -0.84
Pu  0.750  0.750  0.334  5.00
Pu  0.250  0.250  0.666  5.00



8.
Pu2CoCu2S6 after structural relaxation, computed with PBE.

## Properties
formation energy (no corrections)	-595	meV/atom
DOS(E_F)	2.035	states/eV per atom
symmetry	No. 166

Cell lengths 6.791, 6.791, 6.778 Å; angles 59.94, 59.94, 60.00 degrees
Each line ends with the local moment (μB).
Sites, in units of the cell vectors:
Co  0.000  0.000  0.000  -0.21
S  0.765  0.765  0.253  -0.13
S  0.235  0.783  0.747  -0.13
S  0.235  0.235  0.747  -0.13
S  0.217  0.765  0.253  -0.13
S  0.765  0.217  0.253  -0.13
S  0.783  0.235  0.747  -0.13
Pu  0.205  0.205  0.386  5.10
Pu  0.795  0.795  0.614  5.10
Cu  0.599  0.599  0.204  -0.10
Cu  0.401  0.401  0.796  -0.10